A relaxed LiSb2Se3 crystal, computed with PBE-GGA.

Output
Offset from the most stable computed form, meV/atom: 0
Formation energy from raw total energies, meV/atom: -423
Electronic total energy, eV per atom: -3.859

a b c (Å): 4.150 5.995 12.154
angles (deg): 90.00 90.00 90.00
Space group Immm (No. 71)
Symmetry-distinct sites (fractional):
Li 0.000 0.000 0.000
Sb 0.000 0.000 0.331
Se 0.000 0.500 0.000
Se 0.000 0.500 0.331